Entry 1:
PuPdIO6 | GGA-PBE | relaxed

Unit cell a=5.6304 b=5.6304 c=9.2570 alpha=90.00 beta=90.00 gamma=120.00
Space group P-31c (No. 163)
Symmetry-distinct sites (fractional):
Pu 0.3333 0.6667 0.2500 [2 per cell]
Pd 0.0000 0.0000 0.0000 [2 per cell]
I 0.3333 0.6667 0.7500 [2 per cell]
O 0.0028 0.3536 0.6323 [12 per cell]

Calculated values
Formation energy (no corrections) ... -9.11 eV per formula unit
Fermi-level density of states ... 13.84 states/eV/cell
Crystal system ... trigonal

Entry 2:
CaZnGa3Pd | GGA-PBE | relaxed

Unit cell a=6.322 b=12.849 c=5.824 alpha=90.00 beta=90.00 gamma=90.00
Space group Cmcm (No. 63)
Symmetry-distinct sites (fractional):
Ca 0.000 0.202 0.250 [4 per cell]
Zn 0.000 0.421 0.250 [4 per cell]
Ga 0.000 0.352 0.750 [4 per cell]
Ga 0.206 0.000 0.000 [8 per cell]
Pd 0.000 0.147 0.750 [4 per cell]

Calculated values
Fermi-level density of states ... 7.88 states/eV/cell
Crystal system ... orthorhombic
Formation energy from the elements ... -0.27 eV per atom

Entry 3:
Tl2VBi | GGA-PBE | relaxed

Unit cell a=4.360 b=4.360 c=22.977 alpha=90.00 beta=90.00 gamma=90.00
Space group I-42d (No. 122)
Symmetry-distinct sites (fractional):
Tl 0.242 0.250 0.125 [8 per cell]
V 0.000 0.000 0.000 [4 per cell]
Bi 0.000 0.000 0.500 [4 per cell]

Calculated values
Fermi-level density of states ... 17.15 states/eV/cell
Crystal system ... tetragonal
Formation energy from the elements ... 0.48 eV per atom
Distance to the lowest polymorph of the same formula ... 0.000 eV per atom

Entry 4:
TaAsI | GGA-PBE | relaxed

Unit cell a=13.315 b=4.138 c=7.754 alpha=90.00 beta=121.58 gamma=90.00
Space group C2/m (No. 12)
Symmetry-distinct sites (fractional):
Ta 0.152 0.000 0.456 [4 per cell]
As 0.125 0.500 0.257 [4 per cell]
I 0.110 0.000 0.771 [4 per cell]

Calculated values
Formation energy (no corrections) ... -0.46 eV per formula unit
Fermi-level density of states ... 2.33 states/eV/cell
Crystal system ... monoclinic

Entry 5:
CoHOsPt2 | GGA-PBE | relaxed

Unit cell a=4.829 b=4.829 c=4.616 alpha=90.00 beta=90.00 gamma=90.00
Space group P4/mmm (No. 123)
Symmetry-distinct sites (fractional):
Co 0.000 0.000 0.000 [1 per cell]
H 0.500 0.500 0.000 [1 per cell]
Os 0.000 0.000 0.500 [1 per cell]
Pt 0.000 0.500 0.500 [2 per cell]

Calculated values
E_tot ... -4.9062 eV per atom
Fermi-level density of states ... 5.26 states/eV/cell
Crystal system ... tetragonal

Entry 6:
La2AlZn12Cu3 | GGA-PBE | relaxed

Unit cell a=8.3526 b=8.3526 c=19.1042 alpha=90.00 beta=90.00 gamma=120.00
Space group R-3m (No. 166, hexagonal axes)
Symmetry-distinct sites (fractional):
La 0.0000 0.0000 0.0984 [6 per cell]
Al 0.0000 0.0000 0.5000 [3 per cell]
Zn 0.0045 0.5022 0.1312 [18 per cell]
Zn 0.1036 0.5518 0.3922 [18 per cell]
Cu 0.0000 0.5000 0.0000 [9 per cell]

Calculated values
Fermi-level density of states ... 35.67 states/eV/cell
Crystal system ... trigonal
Formation energy from the elements ... 0.21 eV per atom

Entry 7:
AlRu4Pb | GGA-PBE | relaxed

Unit cell a=7.368 b=7.368 c=7.368 alpha=90.00 beta=90.00 gamma=90.00
Space group F-43m (No. 216)
Symmetry-distinct sites (fractional):
Al 0.000 0.000 0.000 [4 per cell]
Ru 0.125 0.125 0.375 [16 per cell]
Pb 0.250 0.250 0.750 [4 per cell]

Calculated values
Fermi-level density of states ... 43.59 states/eV/cell
Crystal system ... cubic
Formation energy from the elements ... 0.49 eV per atom

Entry 8:
Zr2SiPb | GGA-PBE | relaxed

Unit cell a=6.507 b=8.151 c=3.300 alpha=90.00 beta=101.93 gamma=90.00
Space group C2/m (No. 12)
Symmetry-distinct sites (fractional):
Zr 0.250 0.250 0.000 [4 per cell]
Si 0.000 0.000 0.500 [2 per cell]
Pb 0.000 0.500 0.500 [2 per cell]

Calculated values
Formation energy (no corrections) ... -0.88 eV per formula unit
Fermi-level density of states ... 3.86 states/eV/cell
Crystal system ... monoclinic
Distance to the lowest polymorph of the same formula ... 0.214 eV per atom

Entry 9:
LiMoOs2 | GGA-PBE | relaxed

Unit cell a=2.865 b=4.519 c=9.106 alpha=90.00 beta=90.00 gamma=90.00
Space group Cmmm (No. 65)
Symmetry-distinct sites (fractional):
Li 0.000 0.000 0.000 [2 per cell]
Mo 0.000 0.000 0.500 [2 per cell]
Os 0.000 0.500 0.251 [4 per cell]

Calculated values
Fermi-level density of states ... 6.37 states/eV/cell
Crystal system ... orthorhombic
Formation energy from the elements ... 0.28 eV per atom
Distance to the lowest polymorph of the same formula ... 0.152 eV per atom

Entry 10:
NdTm2Ag4 | GGA-PBE | relaxed

Unit cell a=7.330 b=7.330 c=6.844 alpha=90.00 beta=90.00 gamma=90.00
Space group I4/mmm (No. 139)
Symmetry-distinct sites (fractional):
Nd 0.000 0.000 0.000 [2 per cell]
Tm 0.000 0.500 0.000 [4 per cell]
Ag 0.250 0.250 0.250 [8 per cell]

Calculated values
Fermi-level density of states ... 9.24 states/eV/cell
Crystal system ... tetragonal
Formation energy from the elements ... -0.08 eV per atom

Entry 11:
CeAl7Zn5 | GGA-PBE | relaxed

Unit cell a=5.255 b=9.136 c=9.190 alpha=90.00 beta=90.00 gamma=90.00
Space group Imm2 (No. 44)
Symmetry-distinct sites (fractional):
Ce 0.000 0.000 0.000 [2 per cell]
Al 0.000 0.000 0.360 [2 per cell]
Al 0.000 0.000 0.651 [2 per cell]
Al 0.000 0.283 0.505 [4 per cell]
Al 0.000 0.353 0.006 [4 per cell]
Al 0.000 0.500 0.289 [2 per cell]
Zn 0.000 0.500 0.718 [2 per cell]
Zn 0.249 0.252 0.755 [8 per cell]

Calculated values
Fermi-level density of states ... 18.20 states/eV/cell
Crystal system ... orthorhombic
Formation energy from the elements ... -0.12 eV per atom

Entry 12:
Rb2ReClF6 | GGA-PBE | relaxed

Unit cell a=9.843 b=9.843 c=9.843 alpha=90.00 beta=90.00 gamma=90.00
Space group Fm-3m (No. 225)
Symmetry-distinct sites (fractional):
Rb 0.250 0.250 0.250 [8 per cell]
Re 0.000 0.000 0.000 [4 per cell]
Cl 0.000 0.000 0.500 [4 per cell]
F 0.000 0.000 0.196 [24 per cell]

Calculated values
Formation energy (no corrections) ... -21.25 eV per formula unit
Fermi-level density of states ... 91.47 states/eV/cell
Crystal system ... cubic
Distance to the lowest polymorph of the same formula ... 0.136 eV per atom